[1]
## CsSeN2F (PBE-GGA)

Data for a geometry-optimized CsSeN2F structure. Values from VASP.

Output
E (eV/atom): -2.1326
Calculated volume (Å³ per atom): 25.9
Space-group type: No. 123
DOS at the Fermi energy (states/eV per cell): 7.678

```
&SYSTEM
  ibrav = 0, nat = 5, ntyp = 4
/
ATOMIC_SPECIES
Cs 132.91 Cs.upf
Se 78.96 Se.upf
N 14.01 N.upf
F 19.00 F.upf
ATOMIC_POSITIONS crystal
Cs 0.000 0.000 0.000
Se 0.000 0.000 0.500
N 0.000 0.500 0.000
N 0.500 0.000 0.000
F 0.500 0.500 0.500
CELL_PARAMETERS angstrom
4.252 0.000 0.000
0.000 4.252 0.000
0.000 0.000 7.167
```

---

[2]
## TbErCdRu (PBE-GGA)

Data for a geometry-optimized TbErCdRu structure. Values from VASP.

Output
E (eV/atom): -5.2601
Calculated volume (Å³ per atom): 22.9
Space-group type: No. 99
DOS at the Fermi energy (states/eV per cell): 3.226

```
&SYSTEM
  ibrav = 0, nat = 4, ntyp = 4
/
ATOMIC_SPECIES
Tb 158.93 Tb.upf
Er 167.26 Er.upf
Cd 112.41 Cd.upf
Ru 101.07 Ru.upf
ATOMIC_POSITIONS crystal
Tb 0.000 0.000 0.000
Er 0.000 0.000 0.570
Cd 0.500 0.500 0.290
Ru 0.500 0.500 0.781
CELL_PARAMETERS angstrom
3.453 0.000 0.000
0.000 3.453 0.000
0.000 0.000 7.678
```

---

[3]
## ZnCoAg (PBE-GGA)

Data for a geometry-optimized ZnCoAg structure. Values from VASP.

Output
E (eV/atom): -3.5784
Calculated volume (Å³ per atom): 14.3
Space-group type: No. 107
DOS at the Fermi energy (states/eV per cell): 5.119

```
&SYSTEM
  ibrav = 0, nat = 6, ntyp = 3
/
ATOMIC_SPECIES
Zn 65.41 Zn.upf
Co 58.93 Co.upf
Ag 107.87 Ag.upf
ATOMIC_POSITIONS crystal
Zn 0.000 0.000 0.000
Zn 0.500 0.500 0.500
Co 0.000 0.000 0.355
Co 0.500 0.500 0.855
Ag 0.000 0.000 0.683
Ag 0.500 0.500 0.183
CELL_PARAMETERS angstrom
2.730 0.000 0.000
0.000 2.730 0.000
0.000 0.000 11.476
```

---

[4]
## Cs2NaSCl6 (PBE-GGA)

Data for a geometry-optimized Cs2NaSCl6 structure. Values from VASP.

Output
E (eV/atom): -2.9238
Calculated volume (Å³ per atom): 30.2
Space-group type: No. 139
DOS at the Fermi energy (states/eV per cell): 3.262

```
&SYSTEM
  ibrav = 0, nat = 10, ntyp = 4
/
ATOMIC_SPECIES
Cs 132.91 Cs.upf
Na 22.99 Na.upf
S 32.06 S.upf
Cl 35.45 Cl.upf
ATOMIC_POSITIONS crystal
Cs 0.250 0.750 0.500
Cs 0.750 0.250 0.500
Na 0.000 0.000 0.000
S 0.500 0.500 0.000
Cl 0.258 0.258 0.515
Cl 0.258 0.742 0.000
Cl 0.279 0.279 0.000
Cl 0.721 0.721 0.000
Cl 0.742 0.258 0.000
Cl 0.742 0.742 0.485
CELL_PARAMETERS angstrom
-3.814 3.814 5.197
3.814 -3.814 5.197
3.814 3.814 -5.197
```